1.
# TbPm2Hg3

TbPm2Hg3 after structural relaxation (PBE-GGA, Alexandria).

a = 3.787 Å, b = 3.787 Å, c = 11.376 Å
α = 90.00°, β = 90.00°, γ = 90.00°
Fractional positions:
Pm 0.500 0.500 0.831
Pm 0.500 0.500 0.169
Hg 0.000 0.000 0.342
Hg 0.000 0.000 0.658
Hg 0.000 0.000 0.000
Tb 0.500 0.500 0.500

Computed properties:
Calculated density (g/cm³): 10.696
Crystal system: tetragonal
Raw total energy (eV/cell): -17.890


2.
# LaScCd

LaScCd after structural relaxation (PBE-GGA, Alexandria).

a = 6.686 Å, b = 5.343 Å, c = 9.517 Å
α = 90.00°, β = 90.00°, γ = 90.00°
Fractional positions:
La 0.302 0.250 0.423
La 0.698 0.750 0.577
La 0.198 0.750 0.923
La 0.802 0.250 0.077
Sc 0.486 0.250 0.784
Sc 0.514 0.750 0.216
Sc 0.014 0.750 0.284
Sc 0.986 0.250 0.716
Cd 0.204 0.750 0.594
Cd 0.704 0.750 0.906
Cd 0.296 0.250 0.094
Cd 0.796 0.250 0.406

Computed properties:
Calculated density (g/cm³): 5.788
Crystal system: orthorhombic
Excess energy over the best structure of this formula in the dataset (eV/atom): 0.004
Raw total energy (eV/cell): -50.720


3.
# Sc4RuPt3

Sc4RuPt3 after structural relaxation (PBE-GGA, Alexandria).

a = 3.251 Å, b = 3.251 Å, c = 13.280 Å
α = 90.00°, β = 90.00°, γ = 90.00°
Fractional positions:
Pt 0.500 0.500 0.753
Pt 0.500 0.500 0.247
Pt 0.500 0.500 0.500
Sc 0.000 0.000 0.372
Sc 0.000 0.000 0.628
Sc 0.000 0.000 0.883
Sc 0.000 0.000 0.117
Ru 0.500 0.500 0.000

Computed properties:
Calculated density (g/cm³): 10.250
Crystal system: tetragonal
Raw total energy (eV/cell): -61.689


4.
# KCe2ErSe4

KCe2ErSe4 after structural relaxation (PBE-GGA, Alexandria).

a = 4.199 Å, b = 7.377 Å, c = 7.412 Å
α = 71.30°, β = 90.00°, γ = 90.00°
Fractional positions:
Ce 0.500 0.000 0.500
Ce 0.000 0.000 0.000
Er 0.000 0.500 0.500
Se 0.500 0.258 0.734
Se 0.500 0.742 0.266
Se 0.000 0.245 0.269
Se 0.000 0.755 0.731
K 0.500 0.500 0.000

Computed properties:
Calculated density (g/cm³): 6.127
Crystal system: monoclinic
Formation energy from raw total energies (eV/atom): -1.667
Raw total energy (eV/cell): -44.804


Among the records above, which one has the highest calculated density? TbPm2Hg3